<P>
A plane-wave DFT calculation with SCAN was carried out for a PBEsol-optimized structure of CuNi5.

Computed properties:
D(E_F), states/eV per cell: 5.891

Cell lengths 2.4556, 2.4556, 10.4292 Å; angles 90.00, 90.00, 90.00 degrees
Site moments in Bohr magnetons follow the coordinates.
Positions (direct):
Cu 0.5000 0.5000 0.0000  0.02
Ni 0.0000 0.0000 0.8282  0.68
Ni 0.0000 0.0000 0.1718  0.68
Ni 0.5000 0.5000 0.6650  0.84
Ni 0.5000 0.5000 0.3350  0.84
Ni 0.0000 0.0000 0.5000  0.84


<Q>
A plane-wave DFT calculation with SCAN was carried out for a PBEsol-optimized structure of CuNi5.

Computed properties:
D(E_F), states/eV per cell: 6.321

Cell lengths 2.4490, 4.0319, 6.4966 Å; angles 90.00, 100.86, 90.00 degrees
Site moments in Bohr magnetons follow the coordinates.
Positions (direct):
Cu 0.0001 0.0000 0.0002  0.01
Ni 0.3318 0.0000 0.6636  0.78
Ni 0.6678 0.0000 0.3356  0.80
Ni 0.4435 0.5000 0.8870  0.78
Ni 0.7782 0.5000 0.5563  0.81
Ni 0.1120 0.5000 0.2240  0.76


Computed stability ranking, most favorable first: <P>, <Q>